Record 1
Compound: Sm2AsBrCl
Source: the Open Quantum Materials Database
Functional: PBE-GGA
Structure: optimized geometry

Unit cell a=4.1353 b=4.1353 c=10.3276 alpha=90.00 beta=90.00 gamma=120.00
Space group P3m1 (No. 156)
One atom of each set of equivalent atoms:
Sm  0.0000  0.0000  0.0000 (multiplicity 1)
Sm  0.3333  0.6667  0.6829 (multiplicity 1)
As  0.6667  0.3333  0.8413 (multiplicity 1)
Br  0.3333  0.6667  0.1771 (multiplicity 1)
Cl  0.0000  0.0000  0.5261 (multiplicity 1)

Computed properties:
Its density is 5.3 g/cm3. For the total energy, the calculation gives -5.332 eV per atom. The calculation puts the calculated volume at 30.59 Å³ per atom.

---

Record 2
Compound: Tb2AsBrCl
Source: the Open Quantum Materials Database
Functional: PBE-GGA
Structure: optimized geometry

Unit cell a=4.0630 b=4.0630 c=10.4107 alpha=90.00 beta=90.00 gamma=120.00
Space group P3m1 (No. 156)
One atom of each set of equivalent atoms:
Tb  0.0000  0.0000  0.0000 (multiplicity 1)
Tb  0.3333  0.6667  0.3068 (multiplicity 1)
As  0.6667  0.3333  0.1533 (multiplicity 1)
Br  0.0000  0.0000  0.4801 (multiplicity 1)
Cl  0.3333  0.6667  0.8464 (multiplicity 1)

Computed properties:
Its density is 5.7 g/cm3. For the total energy, the calculation gives -5.287 eV per atom. The calculation puts the calculated volume at 29.77 Å³ per atom.

---

Record 3
Compound: Tm2AsBrCl
Source: the Open Quantum Materials Database
Functional: PBE-GGA
Structure: optimized geometry

Unit cell a=3.9799 b=3.9799 c=10.5999 alpha=90.00 beta=90.00 gamma=120.00
Space group P3m1 (No. 156)
One atom of each set of equivalent atoms:
Tm  0.0000  0.0000  0.0000 (multiplicity 1)
Tm  0.3333  0.6667  0.7061 (multiplicity 1)
As  0.6667  0.3333  0.8529 (multiplicity 1)
Br  0.3333  0.6667  0.1679 (multiplicity 1)
Cl  0.0000  0.0000  0.5570 (multiplicity 1)

Computed properties:
Its density is 6.0 g/cm3. For the total energy, the calculation gives -5.167 eV per atom. The calculation puts the calculated volume at 29.08 Å³ per atom.